! Lu2Zr4Al3N3 | the Open Quantum Materials Database | PBE | optimized geometry; values from VASP
! Space group   C2/c (15)
! Total energy   -7.718 eV per atom
! M_tot   0.001 μB per formula unit
&SYSTEM
  ibrav = 0, nat = 24, ntyp = 4
/
ATOMIC_SPECIES
Al 26.98 Al.upf
Lu 174.97 Lu.upf
N 14.01 N.upf
Zr 91.22 Zr.upf
ATOMIC_POSITIONS angstrom
Al -3.253 -2.154 1.320
Al -5.378 -2.679 -0.529
Al -7.434 -0.698 -0.288
Al -5.083 -5.377 7.991
Al -7.139 -3.395 8.232
Al -9.264 -3.921 6.383
Lu -4.343 0.822 -0.116
Lu -6.288 -1.611 2.868
Lu -6.230 -4.464 4.836
Lu -8.175 -6.897 7.820
N -2.165 1.864 0.067
N -5.072 2.847 -1.082
N -3.711 0.222 -2.308
N -6.998 -3.853 2.691
N -4.093 -4.902 3.785
N -5.519 -2.221 5.013
Zr -7.116 1.985 -1.412
Zr -1.274 -0.038 0.859
Zr -9.356 -0.706 1.929
Zr -3.514 -2.766 4.169
Zr -9.004 -3.308 3.535
Zr -3.162 -5.368 5.774
Zr -11.244 -6.036 6.844
Zr -5.401 -8.059 9.115
CELL_PARAMETERS angstrom
-4.331 3.729 0.134
-4.452 -0.660 -3.524
-3.735 -9.144 11.094

=====

! NaLuAl | the Open Quantum Materials Database | PBE | optimized geometry; values from VASP
! Space group   F-43m (216)
! M_tot   1.000 μB per formula unit
! Offset from the most stable computed form   0 meV/atom
&SYSTEM
  ibrav = 0, nat = 3, ntyp = 3
/
ATOMIC_SPECIES
Al 26.98 Al.upf
Lu 174.97 Lu.upf
Na 22.99 Na.upf
ATOMIC_POSITIONS angstrom
Al 0.000 0.000 0.000
Lu 1.764 1.764 1.764
Na 5.292 5.292 5.292
CELL_PARAMETERS angstrom
0.000 3.528 3.528
3.528 0.000 3.528
3.528 3.528 0.000

=====

! NaLuAl | the Open Quantum Materials Database | PBE | optimized geometry; values from VASP
! Space group   F-43m (216)
! M_tot   0.998 μB per formula unit
! Offset from the most stable computed form   281 meV/atom
&SYSTEM
  ibrav = 0, nat = 3, ntyp = 3
/
ATOMIC_SPECIES
Al 26.98 Al.upf
Lu 174.97 Lu.upf
Na 22.99 Na.upf
ATOMIC_POSITIONS angstrom
Al 1.772 1.772 1.772
Lu 0.000 0.000 0.000
Na 5.316 5.316 5.316
CELL_PARAMETERS angstrom
0.000 3.544 3.544
3.544 0.000 3.544
3.544 3.544 0.000

=====

! NaLuAlSe3 | the Open Quantum Materials Database | PBE | optimized geometry; values from VASP
! Space group   Cmcm (63)
! Total energy   -4.472 eV per atom
! M_tot   0.006 μB per formula unit
&SYSTEM
  ibrav = 0, nat = 12, ntyp = 4
/
ATOMIC_SPECIES
Al 26.98 Al.upf
Lu 174.97 Lu.upf
Na 22.99 Na.upf
Se 78.96 Se.upf
ATOMIC_POSITIONS angstrom
Al 2.022 -6.484 2.663
Al 2.022 6.484 7.989
Lu 2.022 0.000 0.000
Lu 2.022 0.000 5.326
Na 2.022 3.405 2.663
Na 2.022 -3.405 7.989
Se 2.022 -4.997 0.757
Se 2.022 -1.006 2.663
Se 2.022 -4.997 4.569
Se 2.022 4.997 6.083
Se 2.022 1.006 7.989
Se 2.022 4.997 9.894
CELL_PARAMETERS angstrom
2.022 -6.912 0.000
2.022 6.912 0.000
0.000 0.000 10.651

=====

! LuNbAl2 | the Open Quantum Materials Database | PBE | optimized geometry; values from VASP
! Space group   F-43m (216)
! Total energy   -5.392 eV per atom
! M_tot   0.058 μB per formula unit
&SYSTEM
  ibrav = 0, nat = 4, ntyp = 3
/
ATOMIC_SPECIES
Al 26.98 Al.upf
Lu 174.97 Lu.upf
Nb 92.91 Nb.upf
ATOMIC_POSITIONS angstrom
Al 0.000 0.000 0.000
Al -4.793 -3.685 6.271
Lu -1.598 -1.228 2.090
Nb -3.195 -2.456 4.180
CELL_PARAMETERS angstrom
-1.968 0.662 4.263
-4.186 -1.983 1.013
-0.237 -3.592 3.086

=====

! LuNb2Al | the Open Quantum Materials Database | PBE | optimized geometry; values from VASP
! Space group   F-43m (216)
! Total energy   -7.116 eV per atom
! M_tot   0.000 μB per formula unit
&SYSTEM
  ibrav = 0, nat = 4, ntyp = 3
/
ATOMIC_SPECIES
Al 26.98 Al.upf
Lu 174.97 Lu.upf
Nb 92.91 Nb.upf
ATOMIC_POSITIONS angstrom
Al 3.392 3.392 3.392
Lu 1.696 1.696 1.696
Nb 0.000 0.000 0.000
Nb 5.088 5.088 5.088
CELL_PARAMETERS angstrom
0.000 3.392 3.392
3.392 0.000 3.392
3.392 3.392 0.000

=====

! NdLuAl4Ni2 | the Open Quantum Materials Database | PBE | optimized geometry; values from VASP
! Space group   Amm2 (38)
! Total energy   -5.031 eV per atom
! M_tot   0.005 μB per formula unit
&SYSTEM
  ibrav = 0, nat = 8, ntyp = 4
/
ATOMIC_SPECIES
Al 26.98 Al.upf
Lu 174.97 Lu.upf
Nd 144.24 Nd.upf
Ni 58.69 Ni.upf
ATOMIC_POSITIONS angstrom
Al 2.076 0.000 1.609
Al 4.835 0.000 1.609
Al 1.325 0.000 8.626
Al 5.586 0.000 8.626
Lu 0.000 0.000 5.752
Nd 3.456 0.000 4.511
Ni 0.000 0.000 2.930
Ni 3.456 0.000 7.359
CELL_PARAMETERS angstrom
6.911 0.000 0.000
0.000 2.037 5.128
0.000 -2.037 5.128

=====

! LuAl2Ni | the Open Quantum Materials Database | PBE | optimized geometry; values from VASP
! Space group   F-43m (216)
! Total energy   -4.763 eV per atom
! M_tot   0.003 μB per formula unit
&SYSTEM
  ibrav = 0, nat = 4, ntyp = 3
/
ATOMIC_SPECIES
Al 26.98 Al.upf
Lu 174.97 Lu.upf
Ni 58.69 Ni.upf
ATOMIC_POSITIONS angstrom
Al 0.000 0.000 0.000
Al 1.605 1.605 1.605
Lu 3.210 3.210 3.210
Ni 4.815 4.815 4.815
CELL_PARAMETERS angstrom
0.000 3.210 3.210
3.210 0.000 3.210
3.210 3.210 0.000

=====

! Lu2AlNi | the Open Quantum Materials Database | PBE | optimized geometry; values from VASP
! Space group   F-43m (216)
! Total energy   -4.659 eV per atom
! M_tot   0.140 μB per formula unit
&SYSTEM
  ibrav = 0, nat = 4, ntyp = 3
/
ATOMIC_SPECIES
Al 26.98 Al.upf
Lu 174.97 Lu.upf
Ni 58.69 Ni.upf
ATOMIC_POSITIONS angstrom
Al 3.372 3.372 3.372
Lu 0.000 0.000 0.000
Lu 5.059 5.059 5.059
Ni 1.686 1.686 1.686
CELL_PARAMETERS angstrom
0.000 3.372 3.372
3.372 0.000 3.372
3.372 3.372 0.000

=====

! Lu10Al3Ni | the Open Quantum Materials Database | PBE | optimized geometry; values from VASP
! Space group   P6_3/mmc (194)
! Total energy   -4.731 eV per atom
! M_tot   0.007 μB per formula unit
&SYSTEM
  ibrav = 0, nat = 28, ntyp = 3
/
ATOMIC_SPECIES
Al 26.98 Al.upf
Lu 174.97 Lu.upf
Ni 58.69 Ni.upf
ATOMIC_POSITIONS angstrom
Al 1.557 0.899 2.339
Al 7.718 0.899 2.339
Al 4.638 6.234 2.339
Al 0.000 1.798 7.016
Al -3.080 7.133 7.016
Al 3.080 7.133 7.016
Lu 0.000 0.000 0.000
Lu 0.000 3.346 0.567
Lu -1.740 6.359 0.567
Lu 1.740 6.359 0.567
Lu 4.638 0.693 2.339
Lu 2.919 3.670 2.339
Lu 6.356 3.670 2.339
Lu 0.000 3.346 4.110
Lu -1.740 6.359 4.110
Lu 1.740 6.359 4.110
Lu 0.000 0.000 4.677
Lu 2.898 1.673 5.244
Lu 6.377 1.673 5.244
Lu 4.638 4.686 5.244
Lu -1.719 4.363 7.016
Lu 1.719 4.363 7.016
Lu 0.000 7.340 7.016
Lu 2.898 1.673 8.787
Lu 6.377 1.673 8.787
Lu 4.638 4.686 8.787
Ni 0.000 5.355 2.339
Ni 4.638 2.677 7.016
CELL_PARAMETERS angstrom
9.275 0.000 0.000
-4.638 8.032 0.000
0.000 0.000 9.354

=====

! LuAlNi2 | the Open Quantum Materials Database | PBE | optimized geometry; values from VASP
! Space group   F-43m (216)
! Total energy   -5.047 eV per atom
! M_tot   0.002 μB per formula unit
&SYSTEM
  ibrav = 0, nat = 4, ntyp = 3
/
ATOMIC_SPECIES
Al 26.98 Al.upf
Lu 174.97 Lu.upf
Ni 58.69 Ni.upf
ATOMIC_POSITIONS angstrom
Al -4.824 -1.989 -1.456
Lu -2.412 -0.995 -0.728
Ni 0.000 0.000 0.000
Ni -7.236 -2.984 -2.184
CELL_PARAMETERS angstrom
-2.099 -3.507 -1.691
-4.053 -1.051 1.426
-3.496 0.580 -2.648

=====

! LuAl2Ni | the Open Quantum Materials Database | PBE | optimized geometry; values from VASP
! Space group   F-43m (216)
! Total energy   -4.763 eV per atom
! M_tot   0.003 μB per formula unit
&SYSTEM
  ibrav = 0, nat = 4, ntyp = 3
/
ATOMIC_SPECIES
Al 26.98 Al.upf
Lu 174.97 Lu.upf
Ni 58.69 Ni.upf
ATOMIC_POSITIONS angstrom
Al 0.000 0.000 0.000
Al 4.808 4.808 4.808
Lu 1.603 1.603 1.603
Ni 3.205 3.205 3.205
CELL_PARAMETERS angstrom
0.000 3.205 3.205
3.205 0.000 3.205
3.205 3.205 0.000